# BaZr2Pb

A relaxed BaZr2Pb crystal (PBE, Alexandria).

The energy of formation from the pure elements is 122 kJ/mol of formula units. The calculation puts the magnetization at 0.00 μB/f.u. As for the mass density: 7.6 Mg/m³. The calculation puts the uncorrected energy at -42.93 eV for the cell shown.

The space group is Imm2 (No. 44) and the conventional cell measures 3.409, 5.755 and 11.774 Å, with angles of 90.00, 90.00 and 90.00 degrees. The distinct sites, in fractional coordinates, are Ba at (0.000, 0.000, 0.000), Zr at (0.000, 0.000, 0.505), Zr at (0.000, 0.500, 0.221) and Pb at (0.000, 0.500, 0.774).

# Ca2ScHg

A relaxed Ca2ScHg crystal (PBE, Alexandria).

The energy of formation from the pure elements is -58 kJ/mol of formula units. The calculation puts the magnetization at 0.12 μB/f.u. As for the mass density: 4.5 Mg/m³. The calculation puts the uncorrected energy at -22.47 eV for the cell shown.

The space group is Imm2 (No. 44) and the conventional cell measures 3.768, 5.548 and 11.497 Å, with angles of 90.00, 90.00 and 90.00 degrees. The distinct sites, in fractional coordinates, are Ca at (0.000, 0.000, 0.000), Ca at (0.000, 0.500, 0.209), Sc at (0.000, 0.000, 0.419) and Hg at (0.000, 0.500, 0.728).

# CaCrTc2

A relaxed CaCrTc2 crystal (PBE, Alexandria).

The energy of formation from the pure elements is 393 kJ/mol of formula units. The calculation puts the magnetization at 0.00 μB/f.u. As for the mass density: 5.2 Mg/m³. The calculation puts the uncorrected energy at -113.13 eV for the cell shown. The value obtained for the energy above the most stable polymorph in this dataset is 796 meV per atom.

The space group is I4_1/amd (No. 141, origin choice 2) and the conventional cell measures 4.792, 4.792 and 16.082 Å, with angles of 90.00, 90.00 and 90.00 degrees. The distinct sites, in fractional coordinates, are Ca at (0.000, 0.250, 0.375), Cr at (0.000, 0.250, 0.875) and Tc at (0.000, 0.000, 0.000).

# SrPb

A relaxed SrPb crystal (PBE, Alexandria).

The energy of formation from the pure elements is -62 kJ/mol of formula units. The calculation puts the magnetization at 0.00 μB/f.u. As for the mass density: 5.8 Mg/m³. The calculation puts the uncorrected energy at -36.22 eV for the cell shown.

The space group is P6_3/m (No. 176) and the conventional cell measures 10.8854, 10.8854 and 4.9298 Å, with angles of 90.00, 90.00 and 120.00 degrees. The distinct sites, in fractional coordinates, are Sr at (0.1846, 0.8144, 0.2500) and Pb at (0.1106, 0.5540, 0.7500).

# KSiMo2

A relaxed KSiMo2 crystal (PBE, Alexandria).

The calculation puts the magnetization at 0.00 μB/f.u. As for the mass density: 5.9 Mg/m³. The calculation puts the uncorrected energy at -75.65 eV for the cell shown. The formation energy without anion corrections is 742 meV per atom.

The space group is R-3m (No. 166, hexagonal axes) and the conventional cell measures 2.8526, 2.8526 and 31.2077 Å, with angles of 90.00, 90.00 and 120.00 degrees. The distinct sites, in fractional coordinates, are K at (0.0000, 0.0000, 0.0000), Si at (0.0000, 0.0000, 0.5000) and Mo at (0.0000, 0.0000, 0.2336).

# PdS3Br

A relaxed PdS3Br crystal (PBE, Alexandria).

The calculation puts the magnetization at 0.00 μB/f.u. As for the mass density: 4.0 Mg/m³. The calculation puts the uncorrected energy at -39.18 eV for the cell shown. The formation energy without anion corrections is -69 meV per atom. The value obtained for the energy above the most stable polymorph in this dataset is 0 meV per atom.

The space group is Pmn2_1 (No. 31) and the conventional cell measures 6.456, 7.479 and 4.911 Å, with angles of 90.00, 90.00 and 90.00 degrees. The distinct sites, in fractional coordinates, are Pd at (0.000, 0.001, 0.000), S at (0.000, 0.782, 0.585), S at (0.228, 0.826, 0.284) and Br at (0.000, 0.300, 0.314).

# CaHg2OsO6

A relaxed CaHg2OsO6 crystal (PBE, Alexandria).

The calculation puts the magnetization at 0.00 μB/f.u. As for the mass density: 8.8 Mg/m³. The calculation puts the uncorrected energy at -109.32 eV for the cell shown. The formation energy without anion corrections is -1108 meV per atom.

The space group is P2_1/c (No. 14) and the conventional cell measures 5.804, 5.741 and 10.064 Å, with angles of 90.00, 124.78 and 90.00 degrees. The distinct sites, in fractional coordinates, are Ca at (0.000, 0.000, 0.000), Hg at (0.237, 0.023, 0.743), Os at (0.500, 0.000, 0.500), O at (0.193, 0.055, 0.278), O at (0.253, 0.665, 0.035) and O at (0.403, 0.218, 0.058).

# CsBeZnCO

A relaxed CsBeZnCO crystal (PBE, Alexandria).

The calculation puts the magnetization at 0.00 μB/f.u. As for the mass density: 3.8 Mg/m³. The calculation puts the uncorrected energy at -20.38 eV for the cell shown. The formation energy without anion corrections is -69 meV per atom. The value obtained for the energy above the most stable polymorph in this dataset is 239 meV per atom.

The space group is P1 (No. 1) and the conventional cell measures 3.435, 4.609 and 6.850 Å, with angles of 74.91, 83.21 and 83.64 degrees. The distinct sites, in fractional coordinates, are Cs at (0.000, 0.000, 0.000), Be at (0.851, 0.645, 0.646), Zn at (0.448, 0.369, 0.441), C at (0.349, 0.618, 0.666) and O at (0.521, 0.912, 0.626).

# Er3TmTh3

A relaxed Er3TmTh3 crystal (PBE, Alexandria).

The energy of formation from the pure elements is 26 kJ/mol of formula units. The calculation puts the magnetization at 0.00 μB/f.u. As for the mass density: 10.2 Mg/m³. The calculation puts the uncorrected energy at -80.31 eV for the cell shown. The value obtained for the energy above the most stable polymorph in this dataset is 0 meV per atom.

The space group is P6_3/m (No. 176) and the conventional cell measures 9.3981, 9.3981 and 5.7953 Å, with angles of 90.00, 90.00 and 120.00 degrees. The distinct sites, in fractional coordinates, are Er at (0.0921, 0.6202, 0.2500), Tm at (0.3333, 0.6667, 0.7500) and Th at (0.0482, 0.8123, 0.7500).

# Ce2TmCd2In2

A relaxed Ce2TmCd2In2 crystal (PBE, Alexandria).

The energy of formation from the pure elements is -120 kJ/mol of formula units. The calculation puts the magnetization at 2.32 μB/f.u. As for the mass density: 8.4 Mg/m³. The calculation puts the uncorrected energy at -74.67 eV for the cell shown.

The space group is R-3m (No. 166, hexagonal axes) and the conventional cell measures 4.8208, 4.8208 and 26.7042 Å, with angles of 90.00, 90.00 and 120.00 degrees. The distinct sites, in fractional coordinates, are Ce at (0.0000, 0.0000, 0.1425), Tm at (0.0000, 0.0000, 0.0000), Cd at (0.0000, 0.0000, 0.4112) and In at (0.0000, 0.0000, 0.2717).

# AlTc3Ni

A relaxed AlTc3Ni crystal (PBE, Alexandria).

The energy of formation from the pure elements is 769 kJ/mol of formula units. The calculation puts the magnetization at 0.00 μB/f.u. As for the mass density: 7.4 Mg/m³. The calculation puts the uncorrected energy at -32.65 eV for the cell shown. The value obtained for the energy above the most stable polymorph in this dataset is 297 meV per atom.

The space group is Pm-3m (No. 221) and the conventional cell measures 4.393, 4.393 and 4.393 Å, with angles of 90.00, 90.00 and 90.00 degrees. The distinct sites, in fractional coordinates, are Al at (0.000, 0.000, 0.000), Tc at (0.000, 0.000, 0.500) and Ni at (0.500, 0.500, 0.500).

# TbSc7Cd4

A relaxed TbSc7Cd4 crystal (PBE, Alexandria).

The energy of formation from the pure elements is 47 kJ/mol of formula units. The calculation puts the magnetization at 0.02 μB/f.u. As for the mass density: 5.3 Mg/m³. The calculation puts the uncorrected energy at -104.24 eV for the cell shown.

The space group is C2/m (No. 12) and the conventional cell measures 14.000, 5.333 and 9.169 Å, with angles of 90.00, 121.74 and 90.00 degrees. The distinct sites, in fractional coordinates, are Tb at (0.000, 0.000, 0.000), Sc at (0.000, 0.500, 0.000), Sc at (0.073, 0.000, 0.422), Sc at (0.211, 0.000, 0.883), Sc at (0.242, 0.500, 0.698), Cd at (0.046, 0.500, 0.713) and Cd at (0.181, 0.500, 0.341).

# Ga4NiIr5

A relaxed Ga4NiIr5 crystal (PBE, Alexandria).

The energy of formation from the pure elements is -277 kJ/mol of formula units. The calculation puts the magnetization at 1.26 μB/f.u. As for the mass density: 15.4 Mg/m³. The calculation puts the uncorrected energy at -65.07 eV for the cell shown.

The space group is P4/mmm (No. 123) and the conventional cell measures 3.048, 3.048 and 15.092 Å, with angles of 90.00, 90.00 and 90.00 degrees. The distinct sites, in fractional coordinates, are Ga at (0.000, 0.000, 0.103), Ga at (0.000, 0.000, 0.309), Ni at (0.000, 0.000, 0.500), Ir at (0.500, 0.500, 0.000), Ir at (0.500, 0.500, 0.202) and Ir at (0.500, 0.500, 0.404).

# K3Zr

A relaxed K3Zr crystal (PBE, Alexandria).

The energy of formation from the pure elements is 374 kJ/mol of formula units. The calculation puts the magnetization at 3.90 μB/f.u. As for the mass density: 1.7 Mg/m³. The calculation puts the uncorrected energy at -31.84 eV for the cell shown. The value obtained for the energy above the most stable polymorph in this dataset is 410 meV per atom.

The space group is Fm-3m (No. 225) and the conventional cell measures 9.315, 9.315 and 9.315 Å, with angles of 90.00, 90.00 and 90.00 degrees. The distinct sites, in fractional coordinates, are K at (0.000, 0.000, 0.000), K at (0.250, 0.250, 0.250) and Zr at (0.000, 0.000, 0.500).

# ScGaTc2Au

A relaxed ScGaTc2Au crystal (PBE, Alexandria).

The energy of formation from the pure elements is 656 kJ/mol of formula units. The calculation puts the magnetization at 3.81 μB/f.u. As for the mass density: 6.9 Mg/m³. The calculation puts the uncorrected energy at -26.57 eV for the cell shown.

The space group is P4/mmm (No. 123) and the conventional cell measures 4.956, 4.956 and 4.946 Å, with angles of 90.00, 90.00 and 90.00 degrees. The distinct sites, in fractional coordinates, are Sc at (0.000, 0.000, 0.000), Ga at (0.500, 0.500, 0.000), Tc at (0.000, 0.500, 0.500) and Au at (0.000, 0.000, 0.500).

# K2GaAsOs

A relaxed K2GaAsOs crystal (PBE, Alexandria).

The energy of formation from the pure elements is 547 kJ/mol of formula units. The calculation puts the magnetization at 2.98 μB/f.u. As for the mass density: 3.4 Mg/m³. The calculation puts the uncorrected energy at -15.43 eV for the cell shown.

The space group is P4/mmm (No. 123) and the conventional cell measures 6.431, 6.431 and 4.869 Å, with angles of 90.00, 90.00 and 90.00 degrees. The distinct sites, in fractional coordinates, are K at (0.000, 0.500, 0.000), Ga at (0.000, 0.000, 0.500), As at (0.000, 0.000, 0.000) and Os at (0.500, 0.500, 0.500).

# ThSn2As2Pd7

A relaxed ThSn2As2Pd7 crystal (PBE, Alexandria).

The energy of formation from the pure elements is -539 kJ/mol of formula units. The calculation puts the magnetization at 0.00 μB/f.u. As for the mass density: 9.9 Mg/m³. The calculation puts the uncorrected energy at -133.33 eV for the cell shown.

The space group is C2/m (No. 12) and the conventional cell measures 6.089, 5.949 and 12.719 Å, with angles of 90.00, 95.13 and 90.00 degrees. The distinct sites, in fractional coordinates, are Th at (0.000, 0.000, 0.000), Sn at (0.055, 0.000, 0.340), As at (0.050, 0.500, 0.284), Pd at (0.000, 0.500, 0.000), Pd at (0.218, 0.500, 0.473) and Pd at (0.221, 0.248, 0.836).

# Na3Sn2Bi2

A relaxed Na3Sn2Bi2 crystal (PBE, Alexandria).

The energy of formation from the pure elements is -131 kJ/mol of formula units. The calculation puts the magnetization at 0.00 μB/f.u. As for the mass density: 5.6 Mg/m³. The calculation puts the uncorrected energy at -84.33 eV for the cell shown.

The space group is Pbcm (No. 57) and the conventional cell measures 5.728, 9.137 and 16.286 Å, with angles of 90.00, 90.00 and 90.00 degrees. The distinct sites, in fractional coordinates, are Na at (0.189, 0.049, 0.142), Na at (0.281, 0.710, 0.250), Sn at (0.317, 0.100, 0.556), Bi at (0.190, 0.750, 0.000) and Bi at (0.233, 0.133, 0.750).

# LiHoHf

A relaxed LiHoHf crystal (PBE, Alexandria).

The energy of formation from the pure elements is 28 kJ/mol of formula units. The calculation puts the magnetization at 0.00 μB/f.u. As for the mass density: 7.8 Mg/m³. The calculation puts the uncorrected energy at -32.31 eV for the cell shown. The value obtained for the energy above the most stable polymorph in this dataset is 0 meV per atom.

The space group is P4/nmm (No. 129, origin choice 2) and the conventional cell measures 3.242, 3.242 and 14.122 Å, with angles of 90.00, 90.00 and 90.00 degrees. The distinct sites, in fractional coordinates, are Li at (0.250, 0.250, 0.071), Ho at (0.250, 0.250, 0.744) and Hf at (0.250, 0.250, 0.424).

# Li2GaPt2

A relaxed Li2GaPt2 crystal (PBE, Alexandria).

The energy of formation from the pure elements is -162 kJ/mol of formula units. The calculation puts the magnetization at 0.00 μB/f.u. As for the mass density: 11.1 Mg/m³. The calculation puts the uncorrected energy at -41.22 eV for the cell shown. The value obtained for the energy above the most stable polymorph in this dataset is 253 meV per atom.

The space group is I4/mmm (No. 139) and the conventional cell measures 3.160, 3.160 and 14.252 Å, with angles of 90.00, 90.00 and 90.00 degrees. The distinct sites, in fractional coordinates, are Li at (0.000, 0.500, 0.250), Ga at (0.000, 0.000, 0.000) and Pt at (0.000, 0.000, 0.397).